MnAl3H | PBE | optimized geometry

Calculated values
ΔE to the lowest computed polymorph ... 0 meV per atom

Unit cell a=3.9385 b=3.9385 c=3.9385 alpha=90.00 beta=90.00 gamma=90.00
Sites, in units of the cell vectors:
Mn (0.0000, 0.0000, 0.0000)
Al (0.0000, 0.5000, 0.5000)
Al (0.5000, 0.0000, 0.5000)
Al (0.5000, 0.5000, 0.0000)
H (0.5000, 0.5000, 0.5000)

MgTaAl2 | PBE | optimized geometry

Calculated values
Formation energy ... -11 meV per atom

Unit cell a=4.8144 b=4.8144 c=2.9957 alpha=90.00 beta=90.00 gamma=90.00
Sites, in units of the cell vectors:
Mg (0.0000, 0.0000, 0.0000)
Ta (0.5000, 0.5000, 0.0000)
Al (0.0000, 0.5000, 0.5000)
Al (0.5000, 0.0000, 0.5000)

Nd3YZn4 | PBE | optimized geometry

Calculated values
Formation energy ... -318 meV per atom

Unit cell a=8.9915 b=8.9915 c=8.9915 alpha=33.38 beta=33.38 gamma=33.38
Sites, in units of the cell vectors:
Nd (0.0000, 0.0000, 0.0000)
Nd (0.2489, 0.2489, 0.2489)
Nd (0.7511, 0.7511, 0.7511)
Y (0.5000, 0.5000, 0.5000)
Zn (0.1265, 0.1265, 0.1265)
Zn (0.3766, 0.3766, 0.3766)
Zn (0.6234, 0.6234, 0.6234)
Zn (0.8735, 0.8735, 0.8735)

Number 1: magnetization 2.74 μB/f.u.. Number 2: magnetization 0.00 μB/f.u.. Number 3: magnetization 0.00 μB/f.u..